Compound: FeCuP2S
Source: the Alexandria database
Functional: GGA-PBE
Structure: relaxed

a b c (Å): 4.4314 4.4314 4.5927
angles (deg): 90.00 90.00 90.00
Last column: nearest neighbours and their distance in Å.
Element x y z (fractional)
1 Fe 0.0000 0.0000 0.0000  4 S 3.13, 8 P 3.19
2 Cu 0.5000 0.5000 0.5000  4 P 2.22, 2 S 2.30
3 P 0.0000 0.5000 0.5000  2 Cu 2.22
4 P 0.5000 0.0000 0.5000  2 Cu 2.22
5 S 0.5000 0.5000 0.0000  2 Cu 2.30

Properties
The value obtained for the volume is 90.2 Å³/f.u. Its density of states at the Fermi level is 1.16 states/eV per atom. The value obtained for the offset from the most stable computed form is 2.20 eV per formula unit. The density is 3.9 Mg/m³. For the raw formation energy, the calculation gives 1.04 eV per atom. For the total energy, the calculation gives -4.460 eV/atom.